Crystalline Pr12Nd3Mg5 at its relaxed geometry, computed with GGA-PBE.

* size of the total moment: 0.517 μB/f.u.
* calculated total energy: -3.280 eV per atom
* SG: Ia-3d (230)
* N(E_F): 150.434 states/eV/cell

```
data_Pr12Nd3Mg5
_chemical_formula_sum 'Pr48 Nd12 Mg20'
_symmetry_space_group_name_H-M 'P 1'
_symmetry_Int_Tables_number 1
_symmetry_space_group_name_Hall 'P 1'
_cell_length_a 16.4603
_cell_length_b 16.4603
_cell_length_c 16.4603
_cell_angle_alpha 109.47
_cell_angle_beta 109.47
_cell_angle_gamma 109.47
loop_
_atom_site_label
_atom_site_fract_x
_atom_site_fract_y
_atom_site_fract_z
Mg1 0.0000 0.0000 0.0000
Mg2 0.7500 0.6250 0.3750
Mg3 0.1250 0.3750 0.2500
Mg4 0.8750 0.2500 0.6250
Mg5 0.1250 0.7500 0.3750
Mg6 0.6250 0.8750 0.2500
Mg7 0.7500 0.1250 0.8750
Mg8 0.3750 0.2500 0.1250
Mg9 0.5000 0.0000 0.5000
Mg10 0.5000 0.5000 0.0000
Mg11 0.2500 0.3750 0.6250
Mg12 0.6250 0.7500 0.8750
Mg13 0.5000 0.0000 0.0000
Mg14 0.0000 0.5000 0.0000
Mg15 0.0000 0.5000 0.5000
Mg16 0.2500 0.8750 0.1250
Mg17 0.3750 0.1250 0.7500
Mg18 0.8750 0.6250 0.7500
Mg19 0.0000 0.0000 0.5000
Mg20 0.5000 0.5000 0.5000
Pr1 0.4387 0.6609 0.0709
Pr2 0.3391 0.7778 0.4100
Pr3 0.1609 0.0900 0.7222
Pr4 0.6322 0.0613 0.2222
Pr5 0.1609 0.0709 0.9387
Pr6 0.7222 0.1322 0.0613
Pr7 0.8678 0.5900 0.9291
Pr8 0.6322 0.5709 0.9100
Pr9 0.0613 0.4291 0.8391
Pr10 0.5709 0.6322 0.4100
Pr11 0.0613 0.6322 0.7222
Pr12 0.8678 0.2778 0.4387
Pr13 0.9100 0.8391 0.7778
Pr14 0.0900 0.1609 0.2222
Pr15 0.8391 0.9291 0.0613
Pr16 0.6609 0.2222 0.5900
Pr17 0.5613 0.2222 0.1322
Pr18 0.2778 0.4100 0.8391
Pr19 0.9291 0.0900 0.8678
Pr20 0.0709 0.9100 0.1322
Pr21 0.5900 0.8678 0.4291
Pr22 0.6609 0.4387 0.5709
Pr23 0.2778 0.8678 0.9387
Pr24 0.8391 0.9100 0.2778
Pr25 0.7778 0.4387 0.3678
Pr26 0.1322 0.4100 0.0709
Pr27 0.9387 0.5709 0.1609
Pr28 0.4291 0.3678 0.5900
Pr29 0.4100 0.2778 0.3391
Pr30 0.0900 0.9291 0.3678
Pr31 0.9100 0.0709 0.6322
Pr32 0.9291 0.8391 0.5613
Pr33 0.4291 0.0613 0.3391
Pr34 0.5900 0.7222 0.6609
Pr35 0.1322 0.7222 0.5613
Pr36 0.3678 0.4291 0.0900
Pr37 0.7222 0.5900 0.1609
Pr38 0.2222 0.6609 0.0900
Pr39 0.4100 0.1322 0.5709
Pr40 0.3678 0.9387 0.7778
Pr41 0.5613 0.3391 0.9291
Pr42 0.0709 0.1609 0.4387
Pr43 0.3391 0.5613 0.4291
Pr44 0.7778 0.3391 0.9100
Pr45 0.4387 0.7778 0.8678
Pr46 0.5709 0.9387 0.6609
Pr47 0.9387 0.3678 0.2778
Pr48 0.2222 0.5613 0.6322
Nd1 0.8750 0.1250 0.2500
Nd2 0.3750 0.6250 0.2500
Nd3 0.7500 0.8750 0.6250
Nd4 0.1250 0.8750 0.7500
Nd5 0.1250 0.2500 0.8750
Nd6 0.8750 0.7500 0.1250
Nd7 0.3750 0.7500 0.6250
Nd8 0.2500 0.6250 0.8750
Nd9 0.2500 0.1250 0.3750
Nd10 0.6250 0.3750 0.7500
Nd11 0.6250 0.2500 0.3750
Nd12 0.7500 0.3750 0.1250
```


Crystalline Pr7NdMg2 at its relaxed geometry, computed with GGA-PBE.

* size of the total moment: 0.000 μB/f.u.
* calculated total energy: -3.641 eV per atom
* SG: Cmmm (65)
* N(E_F): 14.683 states/eV/cell

```
data_Pr7NdMg2
_chemical_formula_sum 'Pr7 Nd1 Mg2'
_symmetry_space_group_name_H-M 'P 1'
_symmetry_Int_Tables_number 1
_symmetry_space_group_name_Hall 'P 1'
_cell_length_a 5.4665
_cell_length_b 9.4823
_cell_length_c 9.4823
_cell_angle_alpha 123.28
_cell_angle_beta 90.00
_cell_angle_gamma 90.00
loop_
_atom_site_label
_atom_site_fract_x
_atom_site_fract_y
_atom_site_fract_z
Pr1 0.5000 0.5000 0.5000
Pr2 0.5000 0.0683 0.3009
Pr3 0.5000 0.9317 0.6991
Pr4 0.0000 0.2156 0.7844
Pr5 0.0000 0.7844 0.2156
Pr6 0.5000 0.3009 0.0683
Pr7 0.5000 0.6991 0.9317
Mg1 0.5000 0.7015 0.2985
Mg2 0.5000 0.2985 0.7015
Nd1 0.0000 0.0000 0.0000
```


Crystalline Pr3Nd6Mg2 at its relaxed geometry, computed with GGA-PBE.

* size of the total moment: 0.000 μB/f.u.
* calculated total energy: -4.158 eV per atom
* SG: P-1 (2)
* N(E_F): 14.582 states/eV/cell

```
data_Pr3Nd6Mg2
_chemical_formula_sum 'Pr3 Nd6 Mg2'
_symmetry_space_group_name_H-M 'P 1'
_symmetry_Int_Tables_number 1
_symmetry_space_group_name_Hall 'P 1'
_cell_length_a 6.3068
_cell_length_b 8.7123
_cell_length_c 14.9457
_cell_angle_alpha 59.70
_cell_angle_beta 62.62
_cell_angle_gamma 112.63
loop_
_atom_site_label
_atom_site_fract_x
_atom_site_fract_y
_atom_site_fract_z
Mg1 0.3014 0.5548 0.8910
Mg2 0.6986 0.4452 0.1090
Nd1 0.9851 0.6341 0.7353
Nd2 0.2706 0.2769 0.4519
Nd3 0.7294 0.7231 0.5481
Nd4 0.5160 0.1774 0.6376
Nd5 0.0149 0.3659 0.2647
Nd6 0.4840 0.8226 0.3624
Pr1 0.2580 0.9224 0.1784
Pr2 0.7420 0.0776 0.8216
Pr3 0.0000 0.0000 0.0000
```


Crystalline Pr3NdMg6 at its relaxed geometry, computed with GGA-PBE.

* size of the total moment: 0.000 μB/f.u.
* calculated total energy: -2.959 eV per atom
* SG: P2_1/m (11)
* N(E_F): 17.911 states/eV/cell

```
data_Pr3NdMg6
_chemical_formula_sum 'Pr6 Nd2 Mg12'
_symmetry_space_group_name_H-M 'P 1'
_symmetry_Int_Tables_number 1
_symmetry_space_group_name_Hall 'P 1'
_cell_length_a 5.3831
_cell_length_b 9.5425
_cell_length_c 11.5102
_cell_angle_alpha 105.54
_cell_angle_beta 90.00
_cell_angle_gamma 90.00
loop_
_atom_site_label
_atom_site_fract_x
_atom_site_fract_y
_atom_site_fract_z
Mg1 0.7500 0.7610 0.5112
Mg2 0.2500 0.4397 0.0975
Mg3 0.2500 0.6648 0.7090
Mg4 0.2500 0.0467 0.9011
Mg5 0.7500 0.9533 0.0989
Mg6 0.7500 0.8550 0.8070
Mg7 0.2500 0.8597 0.3047
Mg8 0.2500 0.2390 0.4888
Mg9 0.7500 0.5603 0.9025
Mg10 0.7500 0.1403 0.6953
Mg11 0.2500 0.1450 0.1930
Mg12 0.7500 0.3352 0.2910
Pr1 0.7500 0.6493 0.2078
Pr2 0.2500 0.3507 0.7922
Pr3 0.2500 0.5354 0.3947
Pr4 0.2500 0.7579 0.0055
Pr5 0.7500 0.4646 0.6053
Pr6 0.7500 0.2421 0.9945
Nd1 0.2500 0.9476 0.6072
Nd2 0.7500 0.0524 0.3928
```


Crystalline Pr6Nd5Mg2 at its relaxed geometry, computed with GGA-PBE.

* size of the total moment: 0.000 μB/f.u.
* calculated total energy: -4.177 eV per atom
* SG: Pbam (55)
* N(E_F): 39.915 states/eV/cell

```
data_Pr6Nd5Mg2
_chemical_formula_sum 'Pr12 Nd10 Mg4'
_symmetry_space_group_name_H-M 'P 1'
_symmetry_Int_Tables_number 1
_symmetry_space_group_name_Hall 'P 1'
_cell_length_a 3.6056
_cell_length_b 10.7654
_cell_length_c 23.3306
_cell_angle_alpha 90.00
_cell_angle_beta 90.00
_cell_angle_gamma 90.00
loop_
_atom_site_label
_atom_site_fract_x
_atom_site_fract_y
_atom_site_fract_z
Pr1 0.0000 0.5179 0.3866
Pr2 0.0000 0.0179 0.1134
Pr3 0.0000 0.8515 0.6177
Pr4 0.5000 0.6666 0.8655
Pr5 0.0000 0.1485 0.3823
Pr6 0.5000 0.8334 0.3655
Pr7 0.0000 0.3515 0.8823
Pr8 0.5000 0.1666 0.6345
Pr9 0.0000 0.9821 0.8866
Pr10 0.0000 0.4821 0.6134
Pr11 0.5000 0.3335 0.1345
Pr12 0.0000 0.6485 0.1177
Nd1 0.5000 0.4150 0.7484
Nd2 0.5000 0.0850 0.2484
Nd3 0.5000 0.9150 0.7516
Nd4 0.5000 0.6675 0.5055
Nd5 0.5000 0.5000 0.0000
Nd6 0.5000 0.1675 0.9945
Nd7 0.5000 0.5850 0.2516
Nd8 0.5000 0.0000 0.5000
Nd9 0.5000 0.8325 0.0055
Nd10 0.5000 0.3325 0.4945
Mg1 0.0000 0.8350 0.2388
Mg2 0.0000 0.3350 0.2612
Mg3 0.0000 0.1650 0.7612
Mg4 0.0000 0.6650 0.7388
```


Crystalline PrNdPuMg at its relaxed geometry, computed with GGA-PBE.

* size of the total moment: 6.217 μB/f.u.
* calculated total energy: -6.221 eV per atom
* SG: F-43m (216)
* N(E_F): 15.647 states/eV/cell

```
data_PrNdPuMg
_chemical_formula_sum 'Pr1 Nd1 Pu1 Mg1'
_symmetry_space_group_name_H-M 'P 1'
_symmetry_Int_Tables_number 1
_symmetry_space_group_name_Hall 'P 1'
_cell_length_a 5.5934
_cell_length_b 5.5934
_cell_length_c 5.5934
_cell_angle_alpha 60.00
_cell_angle_beta 60.00
_cell_angle_gamma 60.00
loop_
_atom_site_label
_atom_site_fract_x
_atom_site_fract_y
_atom_site_fract_z
Pu1 0.2500 0.2500 0.2500
Nd1 0.0000 0.0000 0.0000
Pr1 0.5000 0.5000 0.5000
Mg1 0.7500 0.7500 0.7500
```


Crystalline PrNdMgRu at its relaxed geometry, computed with GGA-PBE.

* size of the total moment: 0.000 μB/f.u.
* calculated total energy: -5.150 eV per atom
* SG: F-43m (216)
* N(E_F): 4.610 states/eV/cell

```
data_PrNdMgRu
_chemical_formula_sum 'Pr1 Nd1 Mg1 Ru1'
_symmetry_space_group_name_H-M 'P 1'
_symmetry_Int_Tables_number 1
_symmetry_space_group_name_Hall 'P 1'
_cell_length_a 5.2058
_cell_length_b 5.2058
_cell_length_c 5.2058
_cell_angle_alpha 60.00
_cell_angle_beta 60.00
_cell_angle_gamma 60.00
loop_
_atom_site_label
_atom_site_fract_x
_atom_site_fract_y
_atom_site_fract_z
Nd1 0.7500 0.7500 0.7500
Pr1 0.2500 0.2500 0.2500
Ru1 0.5000 0.5000 0.5000
Mg1 0.0000 0.0000 0.0000
```


Crystalline Pr2Nd4MgSc at its relaxed geometry, computed with GGA-PBE.

* size of the total moment: 0.000 μB/f.u.
* calculated total energy: -4.551 eV per atom
* SG: P4/mmm (123)
* N(E_F): 12.016 states/eV/cell

```
data_Pr2Nd4MgSc
_chemical_formula_sum 'Pr2 Nd4 Mg1 Sc1'
_symmetry_space_group_name_H-M 'P 1'
_symmetry_Int_Tables_number 1
_symmetry_space_group_name_Hall 'P 1'
_cell_length_a 5.0422
_cell_length_b 5.0355
_cell_length_c 11.3673
_cell_angle_alpha 63.67
_cell_angle_beta 90.00
_cell_angle_gamma 90.00
loop_
_atom_site_label
_atom_site_fract_x
_atom_site_fract_y
_atom_site_fract_z
Pr1 0.0000 0.0000 0.0000
Pr2 0.5000 0.0000 0.5000
Nd1 0.5000 0.2527 0.7477
Nd2 0.0000 0.7527 0.7478
Nd3 0.0000 0.2473 0.2521
Nd4 0.5000 0.7473 0.2522
Sc1 0.0000 0.5000 0.5000
Mg1 0.5000 0.5000 0.0000
```


Crystalline Pr4Nd2MgSc at its relaxed geometry, computed with GGA-PBE.

* size of the total moment: 0.000 μB/f.u.
* calculated total energy: -4.558 eV per atom
* SG: Pmmm (47)
* N(E_F): 11.356 states/eV/cell

```
data_Pr4Nd2MgSc
_chemical_formula_sum 'Pr4 Nd2 Mg1 Sc1'
_symmetry_space_group_name_H-M 'P 1'
_symmetry_Int_Tables_number 1
_symmetry_space_group_name_Hall 'P 1'
_cell_length_a 5.0731
_cell_length_b 5.0631
_cell_length_c 11.3373
_cell_angle_alpha 63.45
_cell_angle_beta 90.00
_cell_angle_gamma 90.00
loop_
_atom_site_label
_atom_site_fract_x
_atom_site_fract_y
_atom_site_fract_z
Pr1 0.0000 0.2480 0.2516
Pr2 0.0000 0.7520 0.7484
Pr3 0.5000 0.2522 0.7482
Pr4 0.5000 0.7478 0.2518
Nd1 0.0000 0.0000 0.0000
Nd2 0.5000 0.0000 0.5000
Sc1 0.0000 0.5000 0.5000
Mg1 0.5000 0.5000 0.0000
```